Here is an optimized crystal structure of NiAs2Os from OQMD. Energies are from GGA-PBE.

Properties
The total energy comes out at -5.895 eV/atom.

The structure in CIF format:
```
data_NiAs2Os
_cell_length_a 4.379
_cell_length_b 4.379
_cell_length_c 4.379
_cell_angle_alpha 60.00
_cell_angle_beta 60.00
_cell_angle_gamma 60.00
_symmetry_space_group_name_H-M 'P 1'
_symmetry_Int_Tables_number 1
loop_
_symmetry_equiv_pos_as_xyz
'x,y,z'
loop_
_atom_site_label
_atom_site_type_symbol
_atom_site_fract_x
_atom_site_fract_y
_atom_site_fract_z
_atom_site_occupancy
Ni1 Ni 0.000 0.000 0.000 1
As1 As 0.500 0.500 0.500 1
As2 As 0.750 0.750 0.750 1
Os1 Os 0.250 0.250 0.250 1
```